! Gd2W4O15 (PBE with a Hubbard U, optimized geometry); values from VASP
! Spin magnetization (μB/atom): 0.66
! Total energy (eV per formula unit): -180.63
&SYSTEM
  ibrav = 0, nat = 42, ntyp = 3
/
ATOMIC_SPECIES
O 16.00 O.upf
W 183.84 W.upf
Gd 157.25 Gd.upf
CELL_PARAMETERS angstrom
-5.0359 2.6756 -8.1103
1.4380 -6.0262 -2.8810
-8.2812 -6.7303 2.9217
ATOMIC_POSITIONS crystal
O 0.5550 0.8718 0.3196
O 0.3648 0.7412 0.6143
O 0.8648 0.2588 0.8857
O 0.1352 0.7412 0.1143
W 0.2449 0.9160 0.5098
Gd 0.9753 0.7956 0.2759
O 0.6517 0.2175 0.0835
O 0.1632 0.1175 0.9023
Gd 0.0247 0.2044 0.7241
O 0.0271 0.4508 0.2913
W 0.7551 0.0840 0.4902
O 0.5000 0.5000 0.5000
O 0.6632 0.8825 0.5977
O 0.6352 0.2588 0.3857
O 0.2216 0.3841 0.6526
O 0.8368 0.8825 0.0977
O 0.7784 0.6159 0.3474
O 0.2784 0.3841 0.1526
O 0.3483 0.7825 0.9165
O 0.4450 0.1282 0.6804
O 0.6298 0.9780 0.8987
O 0.0550 0.1282 0.1804
W 0.9030 0.6060 0.8460
O 0.8483 0.2175 0.5835
O 0.9729 0.5492 0.7087
O 0.1517 0.7825 0.4165
O 0.4729 0.4508 0.7913
W 0.5970 0.6060 0.3460
Gd 0.4753 0.2044 0.2241
Gd 0.5247 0.7956 0.7759
O 0.1298 0.0220 0.6013
W 0.4030 0.3940 0.6540
O 0.5271 0.5492 0.2087
O 0.0000 0.5000 0.0000
O 0.3368 0.1175 0.4023
O 0.3702 0.0220 0.1013
W 0.7449 0.0840 0.9902
W 0.0970 0.3940 0.1540
O 0.7216 0.6159 0.8474
O 0.8702 0.9780 0.3987
O 0.9450 0.8718 0.8196
W 0.2551 0.9160 0.0098